# 1
Compound: MgSi
Source: Alexandria
Functional: PBE
Structure: relaxed

Lattice parameters (Å, degrees): 10.464 10.464 3.733 90.00 90.00 90.00
Space group P4/m (No. 83)
Inequivalent atoms, fractional coordinates:
Mg 0.055 0.208 0.000 [4 per cell]
Mg 0.173 0.668 0.500 [4 per cell]
Si 0.112 0.486 0.000 [4 per cell]
Si 0.177 0.369 0.500 [4 per cell]

Properties
Total magnetic moment   0.00 Bohr magnetons per cell
Mass density   1.7 Mg/m³
Raw formation energy   0.192 eV per atom

=====

# 2
Compound: Zr2Co12B7
Source: Alexandria
Functional: PBE
Structure: relaxed

Lattice parameters (Å, degrees): 8.3359 8.3359 3.3637 90.00 90.00 120.00
Space group P-6 (No. 174)
Inequivalent atoms, fractional coordinates:
Zr 0.0000 0.0000 0.0000 [1 per cell]
Zr 0.3333 0.6667 0.5000 [1 per cell]
Co 0.0557 0.2852 0.5000 [3 per cell]
Co 0.0938 0.7025 0.0000 [3 per cell]
Co 0.3928 0.1746 0.0000 [3 per cell]
Co 0.5458 0.4284 0.5000 [3 per cell]
B 0.0788 0.4475 0.0000 [3 per cell]
B 0.2700 0.2209 0.5000 [3 per cell]
B 0.6667 0.3333 0.0000 [1 per cell]

Properties
Total magnetic moment   0.00 Bohr magnetons per cell
Mass density   7.9 Mg/m³
ΔE_f   -0.41 eV per atom

=====

# 3
Compound: Cu2SiNi
Source: Alexandria
Functional: PBE
Structure: relaxed

Lattice parameters (Å, degrees): 2.602 3.775 4.967 90.00 105.02 90.00
Space group Pm (No. 6)
Inequivalent atoms, fractional coordinates:
Cu 0.000 0.000 0.000 [1 per cell]
Cu 0.396 0.500 0.793 [1 per cell]
Si 0.243 0.000 0.495 [1 per cell]
Ni 0.658 0.500 0.322 [1 per cell]

Properties
Total magnetic moment   0.00 Bohr magnetons per cell
Mass density   7.5 Mg/m³
Raw formation energy   -0.170 eV per atom

=====

# 4
Compound: Y4CuTe2Se
Source: Alexandria
Functional: PBE
Structure: relaxed

Lattice parameters (Å, degrees): 7.393 4.110 7.432 90.00 108.24 90.00
Space group P2/m (No. 10)
Inequivalent atoms, fractional coordinates:
Y 0.230 0.000 0.218 [2 per cell]
Y 0.252 0.500 0.776 [2 per cell]
Cu 0.000 0.500 0.000 [1 per cell]
Te 0.000 0.000 0.500 [1 per cell]
Te 0.500 0.500 0.500 [1 per cell]
Se 0.500 0.000 0.000 [1 per cell]

Properties
Total magnetic moment   0.00 Bohr magnetons per cell
Mass density   5.8 Mg/m³
Raw formation energy   -1.170 eV per atom

=====

# 5
Compound: Dy4TmTh4
Source: Alexandria
Functional: PBE
Structure: relaxed

Lattice parameters (Å, degrees): 10.650 10.650 5.039 90.00 90.00 90.00
Space group I4/mmm (No. 139)
Inequivalent atoms, fractional coordinates:
Dy 0.000 0.328 0.000 [8 per cell]
Tm 0.000 0.000 0.000 [2 per cell]
Th 0.165 0.165 0.500 [8 per cell]

Properties
Total magnetic moment   0.00 Bohr magnetons per cell
Mass density   10.2 Mg/m³
ΔE_f   0.04 eV per atom

=====

# 6
Compound: Ac6LaOs2
Source: Alexandria
Functional: PBE
Structure: relaxed

Lattice parameters (Å, degrees): 7.8205 7.8205 20.6679 90.00 90.00 120.00
Space group R3 (No. 146, hexagonal axes)
Inequivalent atoms, fractional coordinates:
Ac 0.0536 0.3372 0.0000 [9 per cell]
Ac 0.0706 0.7166 0.1856 [9 per cell]
La 0.0000 0.0000 0.7526 [3 per cell]
Os 0.0000 0.0000 0.2541 [3 per cell]
Os 0.0000 0.0000 0.6192 [3 per cell]

Properties
Total magnetic moment   0.00 Bohr magnetons per cell
Mass density   8.6 Mg/m³
ΔE_f   0.06 eV per atom

=====

Look up the total magnetic moment of the first one.
0.00 Bohr magnetons per cell